1.
Below is CaGe3Cl after structural relaxation, with properties calculated at the PBE level.

Unit cell a=5.050 b=5.050 c=5.050 alpha=90.00 beta=90.00 gamma=90.00
Space group Pm-3m (No. 221)
Inequivalent atoms, fractional coordinates:
Ca 0.000 0.000 0.000 x1
Ge 0.000 0.500 0.500 x3
Cl 0.500 0.500 0.500 x1

Calculated density, g cm⁻³: 3.8
Excess energy over the best structure of this formula in the dataset, eV/atom: 0.000
DFT total energy, eV/atom: -3.26
Spin magnetization, μB/cell: 0.00



2.
Below is CaFe2Ag after structural relaxation, with properties calculated at the PBE level.

Unit cell a=3.188 b=3.155 c=7.145 alpha=90.00 beta=90.07 gamma=90.00
Space group Pm (No. 6)
Inequivalent atoms, fractional coordinates:
Ca 0.000 0.000 0.000 x1
Fe 0.000 0.000 0.564 x1
Fe 0.501 0.500 0.703 x1
Ag 0.500 0.500 0.317 x1

Calculated density, g cm⁻³: 6.0
ΔE_f, kJ/mol of atoms: 25
DFT total energy, eV/atom: -5.19
Spin magnetization, μB/cell: 5.12



3.
Below is NaZn4Au12 after structural relaxation, with properties calculated at the PBE level.

Unit cell a=8.925 b=8.925 c=8.925 alpha=90.00 beta=90.00 gamma=90.00
Space group Im-3 (No. 204)
Inequivalent atoms, fractional coordinates:
Na 0.000 0.000 0.000 x2
Zn 0.250 0.250 0.250 x8
Au 0.000 0.156 0.346 x24

Calculated density, g cm⁻³: 12.4
ΔE_f, kJ/mol of atoms: 10
DFT total energy, eV/atom: -2.59
Spin magnetization, μB/cell: 0.00



4.
Below is RbCuTe2I after structural relaxation, with properties calculated at the PBE level.

Unit cell a=5.934 b=5.934 c=6.651 alpha=90.00 beta=90.00 gamma=90.00
Space group P4/mmm (No. 123)
Inequivalent atoms, fractional coordinates:
Rb 0.000 0.000 0.000 x1
Cu 0.500 0.500 0.000 x1
Te 0.000 0.500 0.500 x2
I 0.000 0.000 0.500 x1

Calculated density, g cm⁻³: 3.8
Excess energy over the best structure of this formula in the dataset, eV/atom: 0.836
DFT total energy, eV/atom: -2.01
Spin magnetization, μB/cell: 0.01



Copy entry 2 word for word.
Below is CaFe2Ag after structural relaxation, with properties calculated at the PBE level.

Unit cell a=3.188 b=3.155 c=7.145 alpha=90.00 beta=90.07 gamma=90.00
Space group Pm (No. 6)
Inequivalent atoms, fractional coordinates:
Ca 0.000 0.000 0.000 x1
Fe 0.000 0.000 0.564 x1
Fe 0.501 0.500 0.703 x1
Ag 0.500 0.500 0.317 x1

Calculated density, g cm⁻³: 6.0
ΔE_f, kJ/mol of atoms: 25
DFT total energy, eV/atom: -5.19
Spin magnetization, μB/cell: 5.12